1.
# ErInCl6

Crystalline ErInCl6 at its relaxed geometry (PBE, the Alexandria database).

Properties
Polymorph energy (0 for the lowest one) ... 7 kJ/mol of formula units
Energy relative to the elements, uncorrected ... -1.62 eV/atom
E_tot ... -3.922 eV/atom
Space-group type ... No. 148

The structure in CIF format:
```
data_ErInCl6
_chemical_formula_sum 'Er1 In1 Cl6'
_cell_length_a 7.014
_cell_length_b 7.014
_cell_length_c 7.014
_cell_angle_alpha 55.42
_cell_angle_beta 55.42
_cell_angle_gamma 55.42
_space_group_name_H-M_alt 'P 1'
_space_group_IT_number 1
_space_group_name_Hall 'P 1'
loop_
_atom_site_label
_atom_site_fract_x
_atom_site_fract_y
_atom_site_fract_z
Er1 0.000 0.000 0.000
In1 0.500 0.500 0.500
Cl1 0.099 0.744 0.410
Cl2 0.256 0.590 0.901
Cl3 0.410 0.099 0.744
Cl4 0.590 0.901 0.256
Cl5 0.744 0.410 0.099
Cl6 0.901 0.256 0.590
```

---

2.
# ErIn2Cl6

Crystalline ErIn2Cl6 at its relaxed geometry (PBE, the Alexandria database).

Properties
Energy relative to the elements, uncorrected ... -1.45 eV/atom
E_tot ... -3.800 eV/atom
Space-group type ... No. 14

The structure in CIF format:
```
data_ErIn2Cl6
_chemical_formula_sum 'Er2 In4 Cl12'
_cell_length_a 7.183
_cell_length_b 7.372
_cell_length_c 13.379
_cell_angle_alpha 90.00
_cell_angle_beta 120.96
_cell_angle_gamma 90.00
_space_group_name_H-M_alt 'P 1'
_space_group_IT_number 1
_space_group_name_Hall 'P 1'
loop_
_atom_site_label
_atom_site_fract_x
_atom_site_fract_y
_atom_site_fract_z
Er1 0.000 0.000 0.000
Er2 0.000 0.500 0.500
In1 0.313 0.027 0.804
In2 0.313 0.473 0.304
In3 0.687 0.527 0.696
In4 0.687 0.973 0.196
Cl1 0.014 0.172 0.178
Cl2 0.014 0.328 0.678
Cl3 0.300 0.729 0.646
Cl4 0.300 0.771 0.146
Cl5 0.319 0.192 0.014
Cl6 0.319 0.308 0.514
Cl7 0.681 0.692 0.486
Cl8 0.681 0.808 0.986
Cl9 0.700 0.229 0.854
Cl10 0.700 0.271 0.354
Cl11 0.986 0.672 0.322
Cl12 0.986 0.828 0.822
```

---

Q: Which of these has the lowest E_tot?
A: ErInCl6